DFT (PBE-GGA) results for crystalline Tm3Zn4Au2 at its relaxed geometry.

Summary:
* DOS(E_F): 5.75 states/eV per cell
* total energy: -3.354 eV/atom

```
9
Lattice="5.202 -2.245 0.000 5.202 2.245 0.000 -3.664 0.000 7.713" Properties=species:S:1:pos:R:3 pbc="T T T"
Tm 0.000 0.000 0.000
Tm 2.145 0.000 2.631
Tm 4.596 0.000 5.081
Zn -0.973 0.000 2.943
Zn -0.599 0.000 7.326
Zn 7.340 0.000 0.387
Zn 7.714 0.000 4.770
Au 1.448 0.000 5.631
Au 5.293 0.000 2.082
```

---

DFT (PBE-GGA) results for crystalline K2NaMgCd6 at its relaxed geometry.

Summary:
* DOS(E_F): 6.82 states/eV per cell
* total energy: -0.897 eV/atom

```
10
Lattice="0.000 5.668 5.668 5.668 0.000 5.668 5.668 5.668 0.000" Properties=species:S:1:pos:R:3 pbc="T T T"
K 2.834 2.834 2.834
K 8.503 8.503 8.503
Na 0.000 0.000 0.000
Mg 5.668 5.668 5.668
Cd 5.668 5.668 2.869
Cd 5.668 2.869 5.668
Cd 8.468 5.668 5.668
Cd 2.869 5.668 5.668
Cd 5.668 8.468 5.668
Cd 5.668 5.668 8.468
```

---

DFT (PBE-GGA) results for crystalline LaSi2P at its relaxed geometry.

Summary:
* DOS(E_F): 1.86 states/eV per cell
* total energy: -5.430 eV/atom
* ΔE_f (raw): -13 kJ/mol of atoms

```
4
Lattice="-2.186 2.186 4.167 2.186 -2.186 4.167 2.186 2.186 -4.167" Properties=species:S:1:pos:R:3 pbc="T T T"
La 0.000 0.000 0.000
Si 0.000 0.000 4.167
Si 0.000 2.186 2.084
P 2.186 0.000 2.084
```

---

DFT (PBE-GGA) results for crystalline InCoPb3 at its relaxed geometry.

Summary:
* DOS(E_F): 3.08 states/eV per cell
* total energy: -3.984 eV/atom

```
5
Lattice="5.155 0.000 0.000 0.000 5.155 0.000 0.000 0.000 5.155" Properties=species:S:1:pos:R:3 pbc="T T T"
In 0.000 0.000 0.000
Co 2.578 2.578 2.578
Pb 0.000 2.578 2.578
Pb 2.578 0.000 2.578
Pb 2.578 2.578 0.000
```

---

DFT (PBE-GGA) results for crystalline TeMoBr2 at its relaxed geometry.

Summary:
* DOS(E_F): 1.12 states/eV per cell
* total energy: -3.744 eV/atom
* ΔE_f (raw): 57 kJ/mol of atoms

```
4
Lattice="3.305 -4.860 0.000 3.305 4.860 0.000 -3.272 0.000 3.361" Properties=species:S:1:pos:R:3 pbc="T T T"
Te 0.000 0.000 0.000
Mo 3.305 0.000 0.000
Br 0.017 2.430 1.680
Br 0.017 -2.430 1.680
```

---

DFT (PBE-GGA) results for crystalline ZnCd3Hg at its relaxed geometry.

Summary:
* DOS(E_F): 2.74 states/eV per cell
* total energy: -0.817 eV/atom

```
10
Lattice="5.324 -3.147 0.000 5.324 3.147 0.000 -2.545 0.000 6.501" Properties=species:S:1:pos:R:3 pbc="T T T"
Zn 2.619 0.000 0.005
Zn 5.483 0.000 6.496
Cd 0.031 0.000 1.454
Cd 2.701 1.588 2.370
Cd 5.401 1.588 4.131
Cd 2.701 -1.588 2.370
Cd 5.401 -1.588 4.131
Cd 8.070 0.000 5.047
Hg 2.779 0.000 5.031
Hg 5.323 0.000 1.470
```

---

DFT (PBE-GGA) results for crystalline CsK2CaSn at its relaxed geometry.

Summary:
* DOS(E_F): 2.68 states/eV per cell
* total energy: -1.258 eV/atom

```
5
Lattice="6.661 0.000 0.000 0.000 6.661 0.000 0.000 0.000 6.497" Properties=species:S:1:pos:R:3 pbc="T T T"
Cs 0.000 0.000 0.000
K 0.000 3.331 0.000
K 3.331 0.000 0.000
Ca 3.331 3.331 3.248
Sn 0.000 0.000 3.248
```

---

DFT (PBE-GGA) results for crystalline MgNiRu2 at its relaxed geometry.

Summary:
* DOS(E_F): 4.39 states/eV per cell
* total energy: -6.353 eV/atom

```
4
Lattice="-1.556 2.112 4.154 1.556 -2.112 4.154 1.556 2.112 -4.154" Properties=species:S:1:pos:R:3 pbc="T T T"
Mg 0.000 0.000 0.000
Ni 1.556 0.000 2.003
Ru 0.000 0.000 4.042
Ru 0.000 2.112 1.999
```

---

DOS(E_F) of number 6 (ZnCd3Hg)? 2.74 states/eV per cell